# LaAg

LaAg after structural relaxation (GGA-PBE, Alexandria via LeMat-Bulk).

Calculated values
E = -4.03 eV/atom
formation enthalpy at 0 K = -27 kJ/mol of formula units

Unit cell a=7.7943 b=7.3359 c=6.3168 alpha=69.16 beta=61.60 gamma=49.24
Closest atoms and distances in Å follow each position.
Sites, in units of the cell vectors:
La1 0.0767 0.6733 0.0767  6 Ag 3.15-3.28
La2 0.3267 0.9233 0.3267  6 Ag 3.15-3.28
La3 0.6733 0.0767 0.6733  6 Ag 3.15-3.28
La4 0.9233 0.3267 0.9233  6 Ag 3.15-3.28
Ag1 0.2002 0.5498 0.5498  1 Ag 2.84, 2 La 3.15
Ag2 0.4502 0.7998 0.7998  1 Ag 2.84, 2 La 3.15
Ag3 0.5498 0.2002 0.2002  1 Ag 2.84, 2 La 3.15
Ag4 0.7998 0.4502 0.4502  1 Ag 2.84, 2 La 3.15

# LaAg

LaAg after structural relaxation (GGA-PBE, Alexandria via LeMat-Bulk).

Calculated values
E = -3.49 eV/atom
formation enthalpy at 0 K = 78 kJ/mol of formula units

Unit cell a=6.8860 b=6.8860 c=6.8860 alpha=90.00 beta=90.00 gamma=90.00
Closest atoms and distances in Å follow each position.
Sites, in units of the cell vectors:
La1 0.0000 0.0000 0.0000  4 Ag 2.98
La2 0.0000 0.5000 0.5000  4 Ag 2.98
La3 0.5000 0.0000 0.5000  4 Ag 2.98
La4 0.5000 0.5000 0.0000  4 Ag 2.98
Ag1 0.2500 0.2500 0.7500  4 La 2.98
Ag2 0.2500 0.7500 0.2500  4 La 2.98
Ag3 0.7500 0.2500 0.2500  4 La 2.98
Ag4 0.7500 0.7500 0.7500  4 La 2.98

# LaAg6

LaAg6 after structural relaxation (GGA-PBE, Alexandria via LeMat-Bulk).

Calculated values
E = -3.30 eV/atom
E above lowest polymorph = 0.0 meV per atom
formation enthalpy at 0 K = -101 kJ/mol of formula units

Unit cell a=8.9844 b=5.7775 c=11.3522 alpha=90.00 beta=90.00 gamma=90.00
Closest atoms and distances in Å follow each position.
Sites, in units of the cell vectors:
La1 0.2414 0.2500 0.0661  13 Ag 3.25-3.60
La2 0.2586 0.7500 0.5661  13 Ag 3.25-3.60
La3 0.7414 0.2500 0.4339  13 Ag 3.25-3.60
La4 0.7586 0.7500 0.9339  13 Ag 3.25-3.60
Ag1 0.0627 0.0089 0.3083  9 Ag 2.77-3.01
Ag2 0.0627 0.4911 0.3083  9 Ag 2.77-3.01
Ag3 0.0677 0.7500 0.0890  6 Ag 2.79-3.05
Ag4 0.1042 0.2500 0.5194  7 Ag 2.80-3.05
Ag5 0.1458 0.7500 0.8515  8 Ag 2.79-3.08
Ag6 0.1841 0.2500 0.7635  9 Ag 2.77-3.08
Ag7 0.3159 0.7500 0.2635  9 Ag 2.77-3.08
Ag8 0.3542 0.2500 0.3515  8 Ag 2.79-3.08
Ag9 0.3958 0.7500 0.0194  7 Ag 2.80-3.05
Ag10 0.4323 0.2500 0.5890  6 Ag 2.79-3.05
Ag11 0.4373 0.5089 0.8083  9 Ag 2.77-3.01
Ag12 0.4373 0.9911 0.8083  9 Ag 2.77-3.01
Ag13 0.5627 0.0089 0.1917  9 Ag 2.77-3.01
Ag14 0.5627 0.4911 0.1917  9 Ag 2.77-3.01
Ag15 0.5677 0.7500 0.4110  6 Ag 2.79-3.05
Ag16 0.6042 0.2500 0.9806  7 Ag 2.80-3.05
Ag17 0.6458 0.7500 0.6485  8 Ag 2.79-3.08
Ag18 0.6841 0.2500 0.7365  9 Ag 2.77-3.08
Ag19 0.8159 0.7500 0.2365  9 Ag 2.77-3.08
Ag20 0.8542 0.2500 0.1485  8 Ag 2.79-3.08
Ag21 0.8958 0.7500 0.4806  7 Ag 2.80-3.05
Ag22 0.9323 0.2500 0.9110  6 Ag 2.79-3.05
Ag23 0.9373 0.5089 0.6917  9 Ag 2.77-3.01
Ag24 0.9373 0.9911 0.6917  9 Ag 2.77-3.01

# La13Ag2

La13Ag2 after structural relaxation (GGA-PBE, Alexandria via LeMat-Bulk).

Calculated values
E = -4.70 eV/atom
formation enthalpy at 0 K = -67 kJ/mol of formula units

Unit cell a=6.6478 b=8.7765 c=9.7162 alpha=68.60 beta=78.46 gamma=81.62
Closest atoms and distances in Å follow each position.
Sites, in units of the cell vectors:
La1 0.0000 0.0000 0.0000  12 La 3.61-3.92
La2 0.0518 0.4215 0.7016  2 Ag 3.20-3.28, 1 La 3.51
La3 0.2087 0.1782 0.2320  2 Ag 3.37-3.50, 6 La 3.56-3.76
La4 0.2470 0.5967 0.9518  10 La 3.51-3.83
La5 0.2823 0.9850 0.6459  2 Ag 3.20-3.38, 3 La 3.51-3.56
La6 0.4629 0.3689 0.4168  1 Ag 3.18, 3 La 3.39-3.52
La7 0.4762 0.7946 0.1560  1 Ag 3.30, 2 La 3.67
La8 0.5238 0.2054 0.8440  1 Ag 3.30, 2 La 3.67
La9 0.5371 0.6311 0.5832  1 Ag 3.18, 3 La 3.39-3.52
La10 0.7177 0.0150 0.3541  2 Ag 3.20-3.38, 3 La 3.51-3.56
La11 0.7530 0.4033 0.0482  10 La 3.51-3.83
La12 0.7913 0.8218 0.7680  2 Ag 3.37-3.50, 6 La 3.56-3.76
La13 0.9482 0.5785 0.2984  2 Ag 3.20-3.28, 1 La 3.51
Ag1 0.1248 0.7875 0.4505  8 La 3.18-3.50
Ag2 0.8752 0.2125 0.5495  8 La 3.18-3.50

# La7Ag3

La7Ag3 after structural relaxation (GGA-PBE, Alexandria via LeMat-Bulk).

Calculated values
E = -4.44 eV/atom
formation enthalpy at 0 K = -130 kJ/mol of formula units

Unit cell a=10.6246 b=10.6246 c=6.6646 alpha=90.00 beta=90.00 gamma=120.00
Closest atoms and distances in Å follow each position.
Sites, in units of the cell vectors:
La1 0.0707 0.5353 0.0000  2 Ag 3.14
La2 0.1262 0.2524 0.7273  3 Ag 3.16-3.19
La3 0.1262 0.8738 0.7273  3 Ag 3.16-3.19
La4 0.2524 0.1262 0.2273  3 Ag 3.16-3.19
La5 0.3333 0.6667 0.5670  3 Ag 3.18
La6 0.4647 0.5353 0.0000  2 Ag 3.14
La7 0.4647 0.9293 0.0000  2 Ag 3.14
La8 0.5353 0.0707 0.5000  2 Ag 3.14
La9 0.5353 0.4647 0.5000  2 Ag 3.14
La10 0.6667 0.3333 0.0670  3 Ag 3.18
La11 0.7476 0.8738 0.7273  3 Ag 3.16-3.19
La12 0.8738 0.1262 0.2273  3 Ag 3.16-3.19
La13 0.8738 0.7476 0.2273  3 Ag 3.16-3.19
La14 0.9293 0.4647 0.5000  2 Ag 3.14
Ag1 0.1937 0.3873 0.2856  6 La 3.14-3.19
Ag2 0.1937 0.8063 0.2856  6 La 3.14-3.19
Ag3 0.3873 0.1937 0.7856  6 La 3.14-3.19
Ag4 0.6127 0.8063 0.2856  6 La 3.14-3.19
Ag5 0.8063 0.1937 0.7856  6 La 3.14-3.19
Ag6 0.8063 0.6127 0.7856  6 La 3.14-3.19

# LaAg

LaAg after structural relaxation (GGA-PBE, Alexandria via LeMat-Bulk).

Calculated values
E = -4.07 eV/atom
formation enthalpy at 0 K = -36 kJ/mol of formula units

Unit cell a=11.0149 b=9.2180 c=6.7522 alpha=90.00 beta=90.00 gamma=90.00
Closest atoms and distances in Å follow each position.
Sites, in units of the cell vectors:
La1 0.1117 0.2500 0.0000  6 Ag 3.21-3.39, 2 La 3.38
La2 0.1117 0.2500 0.5000  6 Ag 3.21-3.39, 2 La 3.38
La3 0.1947 0.6419 0.2500  5 Ag 3.11-3.43
La4 0.1947 0.8581 0.7500  5 Ag 3.11-3.43
La5 0.3748 0.0294 0.2500  7 Ag 3.13-3.37
La6 0.3748 0.4706 0.7500  7 Ag 3.13-3.37
La7 0.6252 0.5294 0.2500  7 Ag 3.13-3.37
La8 0.6252 0.9706 0.7500  7 Ag 3.13-3.37
La9 0.8053 0.1419 0.2500  5 Ag 3.11-3.43
La10 0.8053 0.3581 0.7500  5 Ag 3.11-3.43
La11 0.8883 0.7500 0.0000  6 Ag 3.21-3.39, 2 La 3.38
La12 0.8883 0.7500 0.5000  6 Ag 3.21-3.39, 2 La 3.38
Ag1 0.0748 0.5435 0.7500  7 La 3.19-3.43
Ag2 0.0748 0.9565 0.2500  7 La 3.19-3.43
Ag3 0.3597 0.1320 0.7500  2 Ag 2.96, 3 La 3.11-3.28
Ag4 0.3597 0.3680 0.2500  2 Ag 2.96, 3 La 3.11-3.28
Ag5 0.4429 0.7500 0.0000  2 Ag 2.96, 2 La 3.17
Ag6 0.4429 0.7500 0.5000  2 Ag 2.96, 2 La 3.17
Ag7 0.5571 0.2500 0.0000  2 Ag 2.96, 2 La 3.17
Ag8 0.5571 0.2500 0.5000  2 Ag 2.96, 2 La 3.17
Ag9 0.6403 0.6320 0.7500  2 Ag 2.96, 3 La 3.11-3.28
Ag10 0.6403 0.8680 0.2500  2 Ag 2.96, 3 La 3.11-3.28
Ag11 0.9252 0.0435 0.7500  7 La 3.19-3.43
Ag12 0.9252 0.4565 0.2500  7 La 3.19-3.43